First-principles (GGA-PBE) data for a relaxed structure of Ag2PtBr4F2, as listed in Alexandria.

## Properties
spin magnetization: 0.00 μB/atom
uncorrected formation energy: -0.5732 eV per atom

a b c (Å): 5.852 7.021 7.021
angles (deg): 65.11 97.90 97.90
Fractional positions:
F 0.260 0.101 0.101
Br 0.282 0.099 0.643
Br 0.282 0.643 0.099
F 0.740 0.899 0.899
Br 0.718 0.901 0.357
Ag 0.481 0.706 0.706
Pt 0.500 0.000 0.000
Br 0.718 0.357 0.901
Ag 0.519 0.294 0.294